1.
! PuInBi2 | Alexandria via LeMat-Bulk | PBE | optimized geometry; values from VASP
&SYSTEM
  ibrav = 0, nat = 4, ntyp = 3
/
ATOMIC_SPECIES
Pu 244.00 Pu.upf
In 114.82 In.upf
Bi 208.98 Bi.upf
ATOMIC_POSITIONS crystal
Pu 0.000 0.000 0.000
In 0.500 0.500 0.000
Bi 0.000 0.500 0.500
Bi 0.500 0.000 0.500
CELL_PARAMETERS angstrom
4.965 0.000 0.000
0.000 4.965 0.000
0.000 0.000 4.609
! Symmetry   P4/mmm
! Polymorph energy (0 for the lowest one)   0.00 kcal/mol of atoms

2.
! Pu2InBi | Alexandria via LeMat-Bulk | PBE | optimized geometry; values from VASP
&SYSTEM
  ibrav = 0, nat = 4, ntyp = 3
/
ATOMIC_SPECIES
Pu 244.00 Pu.upf
In 114.82 In.upf
Bi 208.98 Bi.upf
ATOMIC_POSITIONS crystal
Pu 0.249 0.249 0.249
Pu 0.751 0.751 0.751
In 0.500 0.500 0.500
Bi 0.000 0.000 0.000
CELL_PARAMETERS angstrom
1.722 0.994 11.021
-1.722 0.994 11.021
0.000 -1.988 11.021
! Symmetry   R-3m
! Polymorph energy (0 for the lowest one)   5.28 kcal/mol of atoms

3.
! PuInBi2 | Alexandria via LeMat-Bulk | PBE | optimized geometry; values from VASP
&SYSTEM
  ibrav = 0, nat = 4, ntyp = 3
/
ATOMIC_SPECIES
Pu 244.00 Pu.upf
In 114.82 In.upf
Bi 208.98 Bi.upf
ATOMIC_POSITIONS crystal
Pu 0.000 0.000 0.000
In 0.829 0.829 0.829
Bi 0.413 0.413 0.413
Bi 0.589 0.589 0.589
CELL_PARAMETERS angstrom
2.423 1.399 6.603
-2.423 1.399 6.603
0.000 -2.798 6.603
! Symmetry   R3m
! Polymorph energy (0 for the lowest one)   5.27 kcal/mol of atoms

4.
! PuInBi | Alexandria via LeMat-Bulk | PBE | optimized geometry; values from VASP
&SYSTEM
  ibrav = 0, nat = 6, ntyp = 3
/
ATOMIC_SPECIES
Pu 244.00 Pu.upf
In 114.82 In.upf
Bi 208.98 Bi.upf
ATOMIC_POSITIONS crystal
Pu 0.000 0.500 0.000
Pu 0.500 0.000 0.500
In 0.000 0.000 0.250
In 0.000 0.000 0.750
Bi 0.499 0.501 0.750
Bi 0.501 0.499 0.250
CELL_PARAMETERS angstrom
3.320 -3.352 0.000
3.320 3.352 0.000
-0.022 0.000 9.105
! Symmetry   C2/c
! Polymorph energy (0 for the lowest one)   3.76 kcal/mol of atoms

5.
! Pu4InBi12 | Alexandria via LeMat-Bulk | PBE | optimized geometry; values from VASP
&SYSTEM
  ibrav = 0, nat = 17, ntyp = 3
/
ATOMIC_SPECIES
Pu 244.00 Pu.upf
In 114.82 In.upf
Bi 208.98 Bi.upf
ATOMIC_POSITIONS crystal
Pu 0.000 0.000 0.000
Pu 0.000 0.500 0.500
Pu 0.500 0.000 0.500
Pu 0.500 0.500 0.000
In 0.000 0.000 0.500
Bi 0.005 0.270 0.770
Bi 0.222 0.468 0.229
Bi 0.223 0.730 0.969
Bi 0.323 0.058 0.817
Bi 0.324 0.319 0.559
Bi 0.500 0.241 0.258
Bi 0.500 0.759 0.742
Bi 0.676 0.681 0.441
Bi 0.677 0.942 0.183
Bi 0.777 0.270 0.031
Bi 0.778 0.532 0.771
Bi 0.995 0.730 0.230
CELL_PARAMETERS angstrom
8.069 0.000 0.000
-2.710 8.375 0.000
-2.680 -2.311 8.079
! Symmetry   P-1

6.
! Pu2InBi | Alexandria via LeMat-Bulk | PBE | optimized geometry; values from VASP
&SYSTEM
  ibrav = 0, nat = 4, ntyp = 3
/
ATOMIC_SPECIES
Pu 244.00 Pu.upf
In 114.82 In.upf
Bi 208.98 Bi.upf
ATOMIC_POSITIONS crystal
Pu 0.000 0.500 0.000
Pu 0.500 0.000 0.000
In 0.000 0.000 0.500
Bi 0.500 0.500 0.500
CELL_PARAMETERS angstrom
4.835 0.000 0.000
0.000 4.835 0.000
0.000 0.000 4.686
! Symmetry   P4/mmm
! Polymorph energy (0 for the lowest one)   0.00 kcal/mol of atoms

7.
! Pu2InBi | Alexandria via LeMat-Bulk | PBE | optimized geometry; values from VASP
&SYSTEM
  ibrav = 0, nat = 4, ntyp = 3
/
ATOMIC_SPECIES
Pu 244.00 Pu.upf
In 114.82 In.upf
Bi 208.98 Bi.upf
ATOMIC_POSITIONS crystal
Pu 0.000 0.000 0.245
Pu 0.000 0.000 0.755
In 0.500 0.500 0.000
Bi 0.500 0.500 0.500
CELL_PARAMETERS angstrom
3.380 0.000 0.000
0.000 3.380 0.000
0.000 0.000 9.560
! Symmetry   P4/mmm
! Polymorph energy (0 for the lowest one)   0.87 kcal/mol of atoms

8.
! Pu2InBi | Alexandria via LeMat-Bulk | PBE | optimized geometry; values from VASP
&SYSTEM
  ibrav = 0, nat = 4, ntyp = 3
/
ATOMIC_SPECIES
Pu 244.00 Pu.upf
In 114.82 In.upf
Bi 208.98 Bi.upf
ATOMIC_POSITIONS crystal
Pu 0.250 0.250 0.250
Pu 0.750 0.750 0.750
In 0.000 0.000 0.000
Bi 0.500 0.500 0.500
CELL_PARAMETERS angstrom
0.000 3.828 3.828
3.828 0.000 3.828
3.828 3.828 0.000
! Symmetry   Fm-3m
! Polymorph energy (0 for the lowest one)   2.29 kcal/mol of atoms

9.
! PuIn4Bi | Alexandria via LeMat-Bulk | PBE | optimized geometry; values from VASP
&SYSTEM
  ibrav = 0, nat = 6, ntyp = 3
/
ATOMIC_SPECIES
Pu 244.00 Pu.upf
In 114.82 In.upf
Bi 208.98 Bi.upf
ATOMIC_POSITIONS crystal
Pu 0.000 0.000 0.000
In 0.375 0.375 0.375
In 0.375 0.375 0.875
In 0.375 0.875 0.375
In 0.875 0.375 0.375
Bi 0.750 0.750 0.750
CELL_PARAMETERS angstrom
0.000 4.357 4.357
4.357 0.000 4.357
4.357 4.357 0.000
! Symmetry   F-43m

10.
! PuInBi2 | Alexandria via LeMat-Bulk | PBE | optimized geometry; values from VASP
&SYSTEM
  ibrav = 0, nat = 4, ntyp = 3
/
ATOMIC_SPECIES
Pu 244.00 Pu.upf
In 114.82 In.upf
Bi 208.98 Bi.upf
ATOMIC_POSITIONS crystal
Pu 0.000 0.000 0.000
In 0.500 0.500 0.500
Bi 0.250 0.250 0.250
Bi 0.750 0.750 0.750
CELL_PARAMETERS angstrom
0.000 3.916 3.916
3.916 0.000 3.916
3.916 3.916 0.000
! Symmetry   Fm-3m
! Polymorph energy (0 for the lowest one)   5.01 kcal/mol of atoms

11.
! Pu3InBi3 | Alexandria via LeMat-Bulk | PBE | optimized geometry; values from VASP
&SYSTEM
  ibrav = 0, nat = 14, ntyp = 3
/
ATOMIC_SPECIES
Pu 244.00 Pu.upf
In 114.82 In.upf
Bi 208.98 Bi.upf
ATOMIC_POSITIONS crystal
Pu 0.065 0.564 0.250
Pu 0.436 0.500 0.250
Pu 0.500 0.065 0.750
Pu 0.500 0.935 0.250
Pu 0.564 0.500 0.750
Pu 0.935 0.436 0.750
In 0.333 0.667 0.750
In 0.667 0.333 0.250
Bi 0.165 0.375 0.750
Bi 0.210 0.835 0.750
Bi 0.375 0.210 0.250
Bi 0.625 0.790 0.750
Bi 0.790 0.165 0.250
Bi 0.835 0.625 0.250
CELL_PARAMETERS angstrom
11.962 0.000 0.000
-5.981 10.359 0.000
0.000 0.000 3.430
! Symmetry   P6_3/m

12.
! PuInBi2 | Alexandria via LeMat-Bulk | PBE | optimized geometry; values from VASP
&SYSTEM
  ibrav = 0, nat = 4, ntyp = 3
/
ATOMIC_SPECIES
Pu 244.00 Pu.upf
In 114.82 In.upf
Bi 208.98 Bi.upf
ATOMIC_POSITIONS crystal
Pu 0.000 0.000 0.000
In 0.000 0.000 0.500
Bi 0.500 0.500 0.242
Bi 0.500 0.500 0.758
CELL_PARAMETERS angstrom
4.206 0.000 0.000
0.000 4.206 0.000
0.000 0.000 6.655
! Symmetry   P4/mmm
! Polymorph energy (0 for the lowest one)   1.26 kcal/mol of atoms

Ordered VASP energy results: -6.4638, -8.8663, -6.2351, -6.9568, -6.3537, -9.0953, -9.0574, -8.9958, -4.8309, -6.2465, -8.1684, -6.4091; unit eV per atom.
Ordered density of states at the Fermi level results: 10.5, 16.6, 13.6, 30.6, 52.7, 13.6, 13.2, 18.0, 20.0, 14.8, 24.1, 11.7; unit states/eV per cell.